Entry 1:
PC2S after structural relaxation, computed with PBE.

Unit cell a=3.8221 b=3.8221 c=3.8221 alpha=60.00 beta=60.00 gamma=60.00
Positions (direct):
1 P 0.0000 0.0000 0.0000
2 C 0.7500 0.7500 0.7500
3 C 0.2500 0.2500 0.2500
4 S 0.5000 0.5000 0.5000

Results
Symmetry   Fm-3m, No. 225
Total magnetization   0.0 μB/f.u.
N(E_F)   0.617 states/eV/atom
Relative energy among the computed polymorphs   5.438 eV/f.u.
ΔE_f (raw)   2.653 eV/atom

Entry 2:
PCS after structural relaxation, computed with PBE.

Unit cell a=5.5422 b=5.6557 c=5.8022 alpha=103.27 beta=101.48 gamma=113.44
Positions (direct):
1 P 0.2948 0.0895 0.4837
2 P 0.0176 0.1027 0.1548
3 C 0.1985 0.9023 0.1806
4 C 0.2840 0.4616 0.1875
5 S 0.1523 0.5978 0.9862
6 S 0.5510 0.6429 0.4456

Results
Symmetry   P1, No. 1
Total magnetization   0.0 μB/f.u.
Relative energy among the computed polymorphs   1.004 eV/f.u.
ΔE_f (raw)   0.601 eV/atom

Entry 3:
SbPCS2 after structural relaxation, computed with PBE.

Unit cell a=4.2763 b=4.2763 c=4.1747 alpha=90.00 beta=90.00 gamma=90.00
Positions (direct):
1 Sb 0.5000 0.5000 0.5000
2 S 0.5000 0.0000 0.0000
3 S 0.0000 0.5000 0.0000
4 P 0.0000 0.0000 0.5000
5 C 0.0000 0.0000 0.0000

Results
Symmetry   P4/mmm, No. 123
Total magnetization   0.0 μB/f.u.
N(E_F)   0.551 states/eV/atom
Relative energy among the computed polymorphs   1.047 eV/f.u.
ΔE_f (raw)   1.052 eV/atom